1.
Compound: Fe3SiW
Source: Alexandria via LeMat-Bulk
Functional: PBE
Structure: relaxed Values from VASP.

magnetic moment	3.1	μB per formula unit
offset from the most stable computed form	0.3575	eV per atom
theoretical density	9.241	g/cm³
SG	No. 221

The structure in Quantum ESPRESSO input format:
```
&SYSTEM
  ibrav = 0, nat = 5, ntyp = 3
/
ATOMIC_SPECIES
Fe 55.84 Fe.upf
Si 28.09 Si.upf
W 183.84 W.upf
ATOMIC_POSITIONS angstrom
Fe 0.000 0.000 2.043
Fe 0.000 2.043 0.000
Fe 2.043 0.000 0.000
Si 0.000 0.000 0.000
W 2.043 2.043 2.043
CELL_PARAMETERS angstrom
4.085 0.000 0.000
0.000 4.085 0.000
0.000 0.000 4.085
```


2.
Compound: Sr2CdBiO5
Source: Alexandria via LeMat-Bulk
Functional: PBE
Structure: relaxed Values from VASP.

magnetic moment	0.0	μB per formula unit
total energy	-97.64	eV/cell
theoretical density	6.548	g/cm³
SG	No. 36

The structure in Quantum ESPRESSO input format:
```
&SYSTEM
  ibrav = 0, nat = 18, ntyp = 4
/
ATOMIC_SPECIES
Sr 87.62 Sr.upf
Cd 112.41 Cd.upf
Bi 208.98 Bi.upf
O 16.00 O.upf
ATOMIC_POSITIONS angstrom
Sr 1.843 5.591 5.521
Sr 1.843 5.055 1.019
Sr 1.843 -5.055 6.540
Sr 1.843 -5.591 0.000
Cd 1.843 3.892 9.127
Cd 1.843 -3.892 3.606
Bi 1.843 0.514 3.061
Bi 1.843 -0.514 8.582
O 1.843 6.344 9.681
O 1.843 3.189 5.196
O 1.843 2.613 2.138
O 1.843 1.642 9.154
O 1.843 0.129 6.559
O 1.843 -0.129 1.038
O 1.843 -1.642 3.633
O 1.843 -2.613 7.659
O 1.843 -3.189 10.716
O 1.843 -6.344 4.160
CELL_PARAMETERS angstrom
1.843 -7.185 0.000
1.843 7.185 0.000
0.000 0.000 11.042
```


3.
Compound: MgPRh2
Source: Alexandria via LeMat-Bulk
Functional: PBE
Structure: relaxed Values from VASP.

magnetic moment	0.0	μB per formula unit
formation enthalpy at 0 K	-0.084	eV per atom
theoretical density	7.357	g/cm³
SG	No. 216

The structure in Quantum ESPRESSO input format:
```
&SYSTEM
  ibrav = 0, nat = 4, ntyp = 3
/
ATOMIC_SPECIES
Mg 24.30 Mg.upf
P 30.97 P.upf
Rh 102.91 Rh.upf
ATOMIC_POSITIONS angstrom
Mg 0.000 0.000 0.000
P 1.544 1.544 1.544
Rh 3.089 3.089 3.089
Rh 4.633 4.633 4.633
CELL_PARAMETERS angstrom
0.000 3.089 3.089
3.089 0.000 3.089
3.089 3.089 0.000
```


4.
Compound: PaPPd
Source: Alexandria via LeMat-Bulk
Functional: PBE
Structure: relaxed Values from VASP.

magnetic moment	0.0	μB per formula unit
formation enthalpy at 0 K	-0.682	eV per atom
theoretical density	10.449	g/cm³
SG	No. 107

The structure in Quantum ESPRESSO input format:
```
&SYSTEM
  ibrav = 0, nat = 3, ntyp = 3
/
ATOMIC_SPECIES
Pa 231.04 Pa.upf
P 30.97 P.upf
Pd 106.42 Pd.upf
ATOMIC_POSITIONS angstrom
Pa 0.000 0.000 0.000
P 0.000 0.000 3.105
Pd 0.000 0.000 5.836
CELL_PARAMETERS angstrom
-1.831 1.831 4.367
1.831 -1.831 4.367
1.831 1.831 -4.367
```